#P
Compound: NaTa3Ru
Source: the Alexandria database
Functional: PBE
Structure: relaxed

Values from the calculation:
size of the total moment = 0.0 μB per formula unit
crystal system = cubic
Fermi-level density of states = 7.461 states/eV per cell

Unit cell a=4.870 b=4.870 c=4.870 alpha=90.00 beta=90.00 gamma=90.00
Space group Pm-3m (No. 221)
One atom of each set of equivalent atoms:
Na 0.000 0.000 0.000
Ta 0.000 0.500 0.500
Ru 0.500 0.500 0.500

#Q
Compound: NaTa3Ru
Source: the Alexandria database
Functional: PBE
Structure: relaxed

Values from the calculation:
size of the total moment = 0.0 μB per formula unit
crystal system = cubic
Fermi-level density of states = 8.123 states/eV per cell

Unit cell a=4.575 b=4.575 c=4.575 alpha=90.00 beta=90.00 gamma=90.00
Space group Pm-3m (No. 221)
One atom of each set of equivalent atoms:
Na 0.000 0.000 0.000
Ta 0.000 0.000 0.500
Ru 0.500 0.500 0.500

#P takes first place; second place is 1331 meV per atom up.

#P
Compound: Na2TaRu2
Source: the Alexandria database
Functional: PBE
Structure: relaxed

Values from the calculation:
size of the total moment = 0.0 μB per formula unit
crystal system = tetragonal
Fermi-level density of states = 10.447 states/eV per cell

Unit cell a=6.304 b=6.304 c=5.307 alpha=90.00 beta=90.00 gamma=90.00
Space group P4/mbm (No. 127)
One atom of each set of equivalent atoms:
Na 0.173 0.327 0.000
Ta 0.000 0.000 0.500
Ru 0.138 0.638 0.500

#Q
Compound: Na2TaRu2
Source: the Alexandria database
Functional: PBE
Structure: relaxed

Values from the calculation:
size of the total moment = 0.7 μB per formula unit
crystal system = tetragonal
Fermi-level density of states = 10.023 states/eV per cell

Unit cell a=3.371 b=3.371 c=15.406 alpha=90.00 beta=90.00 gamma=90.00
Space group I4/mmm (No. 139)
One atom of each set of equivalent atoms:
Na 0.000 0.500 0.250
Ta 0.000 0.000 0.000
Ru 0.000 0.000 0.412

#P takes first place; second place is 67 meV per atom up.

#P
Compound: NaTa2Ru
Source: the Alexandria database
Functional: PBE
Structure: relaxed

Values from the calculation:
size of the total moment = 0.0 μB per formula unit
crystal system = cubic
Fermi-level density of states = 18.176 states/eV per cell

Unit cell a=6.476 b=6.476 c=6.476 alpha=90.00 beta=90.00 gamma=90.00
Space group Fm-3m (No. 225)
One atom of each set of equivalent atoms:
Na 0.000 0.000 0.000
Ta 0.250 0.250 0.250
Ru 0.000 0.000 0.500

#Q
Compound: NaTa2Ru
Source: the Alexandria database
Functional: PBE
Structure: relaxed

Values from the calculation:
size of the total moment = 0.0 μB per formula unit
crystal system = tetragonal
Fermi-level density of states = 14.797 states/eV per cell

Unit cell a=7.505 b=7.505 c=5.632 alpha=90.00 beta=90.00 gamma=90.00
Space group I-42d (No. 122)
One atom of each set of equivalent atoms:
Na 0.000 0.000 0.000
Ta 0.199 0.750 0.625
Ru 0.000 0.000 0.500

#P takes first place; second place is 267 meV per atom up.

#P
Compound: Na2TlRu
Source: the Alexandria database
Functional: PBE
Structure: relaxed

Values from the calculation:
size of the total moment = 1.3 μB per formula unit
crystal system = cubic
Fermi-level density of states = 34.169 states/eV per cell

Unit cell a=7.045 b=7.045 c=7.045 alpha=90.00 beta=90.00 gamma=90.00
Space group Fm-3m (No. 225)
One atom of each set of equivalent atoms:
Na 0.250 0.250 0.250
Tl 0.000 0.000 0.000
Ru 0.000 0.000 0.500

#Q
Compound: Na2TlRu
Source: the Alexandria database
Functional: PBE
Structure: relaxed

Values from the calculation:
size of the total moment = 1.0 μB per formula unit
crystal system = tetragonal
Fermi-level density of states = 7.846 states/eV per cell

Unit cell a=8.327 b=8.327 c=5.482 alpha=90.00 beta=90.00 gamma=90.00
Space group I-42d (No. 122)
One atom of each set of equivalent atoms:
Na 0.229 0.250 0.125
Tl 0.000 0.000 0.500
Ru 0.000 0.000 0.000

#Q takes first place; second place is 41 meV per atom up.

#P
Compound: NaTl3Ru
Source: the Alexandria database
Functional: PBE
Structure: relaxed

Values from the calculation:
size of the total moment = 0.0 μB per formula unit
crystal system = cubic
Fermi-level density of states = 2.951 states/eV per cell

Unit cell a=5.319 b=5.319 c=5.319 alpha=90.00 beta=90.00 gamma=90.00
Space group Pm-3m (No. 221)
One atom of each set of equivalent atoms:
Na 0.000 0.000 0.000
Tl 0.000 0.500 0.500
Ru 0.500 0.500 0.500

#Q
Compound: NaTl3Ru
Source: the Alexandria database
Functional: PBE
Structure: relaxed

Values from the calculation:
size of the total moment = 2.3 μB per formula unit
crystal system = cubic
Fermi-level density of states = 6.222 states/eV per cell

Unit cell a=5.398 b=5.398 c=5.398 alpha=90.00 beta=90.00 gamma=90.00
Space group Pm-3m (No. 221)
One atom of each set of equivalent atoms:
Na 0.000 0.000 0.000
Tl 0.000 0.000 0.500
Ru 0.500 0.500 0.500

#P takes first place; second place is 1072 meV per atom up.

#P
Compound: NaV3Ru
Source: the Alexandria database
Functional: PBE
Structure: relaxed

Values from the calculation:
size of the total moment = 2.0 μB per formula unit
crystal system = cubic
Fermi-level density of states = 7.973 states/eV per cell

Unit cell a=4.331 b=4.331 c=4.331 alpha=90.00 beta=90.00 gamma=90.00
Space group Pm-3m (No. 221)
One atom of each set of equivalent atoms:
Na 0.000 0.000 0.000
V 0.000 0.000 0.500
Ru 0.500 0.500 0.500

#Q
Compound: NaV3Ru
Source: the Alexandria database
Functional: PBE
Structure: relaxed

Values from the calculation:
size of the total moment = 1.0 μB per formula unit
crystal system = cubic
Fermi-level density of states = 6.254 states/eV per cell

Unit cell a=4.633 b=4.633 c=4.633 alpha=90.00 beta=90.00 gamma=90.00
Space group Pm-3m (No. 221)
One atom of each set of equivalent atoms:
Na 0.000 0.000 0.000
V 0.000 0.500 0.500
Ru 0.500 0.500 0.500

#Q takes first place; second place is 1229 meV per atom up.

#P
Compound: Na2RuW2
Source: the Alexandria database
Functional: PBE
Structure: relaxed

Values from the calculation:
size of the total moment = 0.7 μB per formula unit
crystal system = tetragonal
Fermi-level density of states = 8.275 states/eV per cell

Unit cell a=8.766 b=8.766 c=2.597 alpha=90.00 beta=90.00 gamma=90.00
Space group P4/mbm (No. 127)
One atom of each set of equivalent atoms:
Na 0.198 0.302 0.000
Ru 0.000 0.000 0.000
W 0.095 0.595 0.500

#Q
Compound: Na2RuW2
Source: the Alexandria database
Functional: PBE
Structure: relaxed

Values from the calculation:
size of the total moment = 2.5 μB per formula unit
crystal system = tetragonal
Fermi-level density of states = 10.831 states/eV per cell

Unit cell a=3.507 b=3.507 c=19.525 alpha=90.00 beta=90.00 gamma=90.00
Space group I4/mmm (No. 139)
One atom of each set of equivalent atoms:
Na 0.000 0.000 0.101
Ru 0.000 0.000 0.500
W 0.000 0.500 0.250

#Q takes first place; second place is 62 meV per atom up.

#P
Compound: NaY3Ru
Source: the Alexandria database
Functional: PBE
Structure: relaxed

Values from the calculation:
size of the total moment = 0.0 μB per formula unit
crystal system = cubic
Fermi-level density of states = 8.552 states/eV per cell

Unit cell a=5.272 b=5.272 c=5.272 alpha=90.00 beta=90.00 gamma=90.00
Space group Pm-3m (No. 221)
One atom of each set of equivalent atoms:
Na 0.000 0.000 0.000
Y 0.000 0.000 0.500
Ru 0.500 0.500 0.500

#Q
Compound: NaY3Ru
Source: the Alexandria database
Functional: PBE
Structure: relaxed

Values from the calculation:
size of the total moment = 0.0 μB per formula unit
crystal system = cubic
Fermi-level density of states = 4.407 states/eV per cell

Unit cell a=5.447 b=5.447 c=5.447 alpha=90.00 beta=90.00 gamma=90.00
Space group Pm-3m (No. 221)
One atom of each set of equivalent atoms:
Na 0.000 0.000 0.000
Y 0.000 0.500 0.500
Ru 0.500 0.500 0.500

#Q takes first place; second place is 1473 meV per atom up.

#P
Compound: Na3YRu
Source: the Alexandria database
Functional: PBE
Structure: relaxed

Values from the calculation:
size of the total moment = 0.0 μB per formula unit
crystal system = cubic
Fermi-level density of states = 8.512 states/eV per cell

Unit cell a=5.269 b=5.269 c=5.269 alpha=90.00 beta=90.00 gamma=90.00
Space group Pm-3m (No. 221)
One atom of each set of equivalent atoms:
Na 0.000 0.000 0.500
Y 0.500 0.500 0.500
Ru 0.000 0.000 0.000

#Q
Compound: Na3YRu
Source: the Alexandria database
Functional: PBE
Structure: relaxed

Values from the calculation:
size of the total moment = 0.3 μB per formula unit
crystal system = cubic
Fermi-level density of states = 8.568 states/eV per cell

Unit cell a=5.932 b=5.932 c=5.932 alpha=90.00 beta=90.00 gamma=90.00
Space group Pm-3m (No. 221)
One atom of each set of equivalent atoms:
Na 0.000 0.000 0.500
Y 0.000 0.000 0.000
Ru 0.500 0.500 0.500

#P takes first place; second place is 799 meV per atom up.

#P
Compound: NaYRu2
Source: the Alexandria database
Functional: PBE
Structure: relaxed

Values from the calculation:
size of the total moment = 0.0 μB per formula unit
crystal system = tetragonal
Fermi-level density of states = 19.713 states/eV per cell

Unit cell a=7.639 b=7.639 c=5.309 alpha=90.00 beta=90.00 gamma=90.00
Space group I-42d (No. 122)
One atom of each set of equivalent atoms:
Na 0.000 0.000 0.000
Y 0.000 0.000 0.500
Ru 0.242 0.250 0.125

#Q
Compound: NaYRu2
Source: the Alexandria database
Functional: PBE
Structure: relaxed

Values from the calculation:
size of the total moment = 0.0 μB per formula unit
crystal system = cubic
Fermi-level density of states = 24.729 states/eV per cell

Unit cell a=6.668 b=6.668 c=6.668 alpha=90.00 beta=90.00 gamma=90.00
Space group Fm-3m (No. 225)
One atom of each set of equivalent atoms:
Na 0.000 0.000 0.000
Y 0.000 0.000 0.500
Ru 0.250 0.250 0.250

#Q takes first place; second place is 215 meV per atom up.

#P
Compound: Na2Y2Ru
Source: the Alexandria database
Functional: PBE
Structure: relaxed

Values from the calculation:
size of the total moment = 0.0 μB per formula unit
crystal system = tetragonal
Fermi-level density of states = 6.986 states/eV per cell

Unit cell a=5.629 b=5.629 c=7.615 alpha=90.00 beta=90.00 gamma=90.00
Space group I4/mmm (No. 139)
One atom of each set of equivalent atoms:
Na 0.000 0.000 0.143
Y 0.000 0.500 0.250
Ru 0.000 0.000 0.500

#Q
Compound: Na2Y2Ru
Source: the Alexandria database
Functional: PBE
Structure: relaxed

Values from the calculation:
size of the total moment = 0.0 μB per formula unit
crystal system = tetragonal
Fermi-level density of states = 11.218 states/eV per cell

Unit cell a=7.208 b=7.208 c=4.667 alpha=90.00 beta=90.00 gamma=90.00
Space group P4/mbm (No. 127)
One atom of each set of equivalent atoms:
Na 0.122 0.378 0.000
Y 0.201 0.701 0.500
Ru 0.000 0.000 0.000

#Q takes first place; second place is 90 meV per atom up.

#P
Compound: NaZr3Ru
Source: the Alexandria database
Functional: PBE
Structure: relaxed

Values from the calculation:
size of the total moment = 0.0 μB per formula unit
crystal system = cubic
Fermi-level density of states = 4.715 states/eV per cell

Unit cell a=4.842 b=4.842 c=4.842 alpha=90.00 beta=90.00 gamma=90.00
Space group Pm-3m (No. 221)
One atom of each set of equivalent atoms:
Na 0.000 0.000 0.000
Zr 0.000 0.000 0.500
Ru 0.500 0.500 0.500

#Q
Compound: NaZr3Ru
Source: the Alexandria database
Functional: PBE
Structure: relaxed

Values from the calculation:
size of the total moment = 1.3 μB per formula unit
crystal system = cubic
Fermi-level density of states = 6.110 states/eV per cell

Unit cell a=5.109 b=5.109 c=5.109 alpha=90.00 beta=90.00 gamma=90.00
Space group Pm-3m (No. 221)
One atom of each set of equivalent atoms:
Na 0.000 0.000 0.000
Zr 0.000 0.500 0.500
Ru 0.500 0.500 0.500

#Q takes first place; second place is 1392 meV per atom up.